# LaHo3Er2 (PBE, relaxed)
# * energy relative to the lowest polymorph listed for this composition: 0.0 kJ per mole of atoms
# * D(E_F): 40.2 states/eV per cell
# * formation energy: 18 meV/atom
data_LaHo3Er2
_chemical_formula_sum 'La4 Ho12 Er8'
_cell_length_a 21.891
_cell_length_b 3.637
_cell_length_c 11.334
_cell_angle_alpha 90.00
_cell_angle_beta 121.01
_cell_angle_gamma 90.00
_symmetry_space_group_name_H-M 'C 1 2/m 1'
_symmetry_Int_Tables_number 12
_symmetry_space_group_name_Hall '-C 2y'
loop_
_atom_site_label
_atom_site_fract_x
_atom_site_fract_y
_atom_site_fract_z
La1 0.110 0.000 0.485
Ho1 0.055 0.500 0.176
Ho2 0.112 0.000 0.987
Ho3 0.221 0.000 0.344
Er1 0.058 0.500 0.689
Er2 0.224 0.000 0.852